Record 1
# PBE BMo2Ru6, optimized geometry
data_BMo2Ru6
_space_group_name_H-M_alt 'P 1'
_space_group_IT_number 1
_space_group_name_Hall 'P 1'
_cell_length_a 5.581
_cell_length_b 5.581
_cell_length_c 5.581
_cell_angle_alpha 60.00
_cell_angle_beta 60.00
_cell_angle_gamma 60.00
loop_
_atom_site_label
_atom_site_type_symbol
_atom_site_fract_x
_atom_site_fract_y
_atom_site_fract_z
B1 B 0.500 0.500 0.500
Mo1 Mo 0.250 0.250 0.250
Mo2 Mo 0.750 0.750 0.750
Ru1 Ru 0.240 0.240 0.760
Ru2 Ru 0.240 0.760 0.240
Ru3 Ru 0.760 0.240 0.760
Ru4 Ru 0.760 0.240 0.240
Ru5 Ru 0.240 0.760 0.760
Ru6 Ru 0.760 0.760 0.240
# **Final energy**: -84.83 eV/cell
# **Energy of formation**: -0.093 eV per atom
# **Volume**: 13.7 Å³/atom
# **Magnetic moment**: 0.00 Bohr magnetons per cell

Record 2
# PBE B3MoRu, optimized geometry
data_B3MoRu
_space_group_name_H-M_alt 'P 1'
_space_group_IT_number 1
_space_group_name_Hall 'P 1'
_cell_length_a 4.022
_cell_length_b 4.022
_cell_length_c 4.022
_cell_angle_alpha 90.00
_cell_angle_beta 90.00
_cell_angle_gamma 90.00
loop_
_atom_site_label
_atom_site_type_symbol
_atom_site_fract_x
_atom_site_fract_y
_atom_site_fract_z
Ru1 Ru 0.500 0.500 0.500
Mo1 Mo 0.000 0.000 0.000
B1 B 0.000 0.500 0.000
B2 B 0.000 0.000 0.500
B3 B 0.500 0.000 0.000
# **Final energy**: -32.09 eV/cell
# **Energy of formation**: 1.610 eV per atom
# **Volume**: 13.0 Å³/atom
# **Polymorph energy (0 for the lowest one)**: 0.358 eV/atom
# **Magnetic moment**: 1.15 Bohr magnetons per cell